Entry 1:
# BaHfAg2 (PBE, relaxed)
# space-group type = F-43m, No. 216
# final energy = -15.61 eV/cell
# crystal system = cubic
data_BaHfAg2
_chemical_formula_sum 'Ba1 Hf1 Ag2'
_cell_length_a 5.0761
_cell_length_b 5.0761
_cell_length_c 5.0761
_cell_angle_alpha 60.00
_cell_angle_beta 60.00
_cell_angle_gamma 60.00
_symmetry_space_group_name_H-M 'P 1'
_symmetry_Int_Tables_number 1
_symmetry_space_group_name_Hall 'P 1'
loop_
_atom_site_label
_atom_site_type_symbol
_atom_site_fract_x
_atom_site_fract_y
_atom_site_fract_z
_atom_site_occupancy
Ba1 Ba 0.0000 0.0000 0.0000 1
Hf1 Hf 0.2500 0.2500 0.2500 1
Ag1 Ag 0.5000 0.5000 0.5000 1
Ag2 Ag 0.7500 0.7500 0.7500 1



Entry 2:
# HoHfBe2 (PBE, relaxed)
# space-group type = P1, No. 1
# final energy = -43.18 eV/cell
# crystal system = triclinic
data_HoHfBe2
_chemical_formula_sum 'Ho2 Hf2 Be4'
_cell_length_a 4.9603
_cell_length_b 5.3527
_cell_length_c 5.6501
_cell_angle_alpha 90.02
_cell_angle_beta 116.01
_cell_angle_gamma 90.23
_symmetry_space_group_name_H-M 'P 1'
_symmetry_Int_Tables_number 1
_symmetry_space_group_name_Hall 'P 1'
loop_
_atom_site_label
_atom_site_type_symbol
_atom_site_fract_x
_atom_site_fract_y
_atom_site_fract_z
_atom_site_occupancy
Ho1 Ho 0.0000 0.0000 0.0000 1
Ho2 Ho 0.3225 0.0035 0.6440 1
Hf1 Hf 0.1587 0.4826 0.3245 1
Hf2 Hf 0.6589 0.7621 0.3199 1
Be1 Be 0.1642 0.5149 0.8268 1
Be2 Be 0.5595 0.2875 0.1213 1
Be3 Be 0.6596 0.5158 0.8256 1
Be4 Be 0.7648 0.2933 0.5321 1



Entry 3:
# LiTm (PBE, relaxed)
# space-group type = F-43m, No. 216
# final energy = -3.78 eV/cell
# ΔE to the lowest computed polymorph = 2.28 eV/f.u.
# crystal system = cubic
data_LiTm
_chemical_formula_sum 'Li1 Tm1'
_cell_length_a 4.5350
_cell_length_b 4.5350
_cell_length_c 4.5350
_cell_angle_alpha 60.00
_cell_angle_beta 60.00
_cell_angle_gamma 60.00
_symmetry_space_group_name_H-M 'P 1'
_symmetry_Int_Tables_number 1
_symmetry_space_group_name_Hall 'P 1'
loop_
_atom_site_label
_atom_site_type_symbol
_atom_site_fract_x
_atom_site_fract_y
_atom_site_fract_z
_atom_site_occupancy
Li1 Li 0.0000 0.0000 0.0000 1
Tm1 Tm 0.7500 0.7500 0.7500 1



Entry 4:
# BaCdNO (PBE, relaxed)
# space-group type = P4/nmm, No. 129
# final energy = -35.25 eV/cell
# ΔE to the lowest computed polymorph = 0.93 eV/f.u.
# crystal system = tetragonal
data_BaCdNO
_chemical_formula_sum 'Ba2 Cd2 N2 O2'
_cell_length_a 5.1976
_cell_length_b 5.1976
_cell_length_c 5.2044
_cell_angle_alpha 90.00
_cell_angle_beta 90.00
_cell_angle_gamma 90.00
_symmetry_space_group_name_H-M 'P 1'
_symmetry_Int_Tables_number 1
_symmetry_space_group_name_Hall 'P 1'
loop_
_atom_site_label
_atom_site_type_symbol
_atom_site_fract_x
_atom_site_fract_y
_atom_site_fract_z
_atom_site_occupancy
Ba1 Ba 0.2500 0.7500 0.0000 1
Ba2 Ba 0.7500 0.2500 0.0000 1
Cd1 Cd 0.2500 0.2500 0.4955 1
Cd2 Cd 0.7500 0.7500 0.5045 1
N1 N 0.2500 0.2500 0.0069 1
N2 N 0.7500 0.7500 0.9931 1
O1 O 0.2500 0.7500 0.5000 1
O2 O 0.7500 0.2500 0.5000 1



Entry 5:
# TaPtNO (PBE, relaxed)
# space-group type = Pmc2_1, No. 26
# final energy = -71.69 eV/cell
# ΔE to the lowest computed polymorph = 0.00 eV/f.u.
# crystal system = orthorhombic
data_TaPtNO
_chemical_formula_sum 'Ta2 Pt2 N2 O2'
_cell_length_a 3.5461
_cell_length_b 6.5772
_cell_length_c 5.4926
_cell_angle_alpha 90.00
_cell_angle_beta 90.00
_cell_angle_gamma 90.00
_symmetry_space_group_name_H-M 'P 1'
_symmetry_Int_Tables_number 1
_symmetry_space_group_name_Hall 'P 1'
loop_
_atom_site_label
_atom_site_type_symbol
_atom_site_fract_x
_atom_site_fract_y
_atom_site_fract_z
_atom_site_occupancy
Ta1 Ta 0.0000 0.1960 0.0000 1
Ta2 Ta 0.0000 0.8040 0.5000 1
Pt1 Pt 0.5000 0.4974 0.1130 1
Pt2 Pt 0.5000 0.5026 0.6130 1
N1 N 0.5000 0.2684 0.8540 1
N2 N 0.5000 0.7316 0.3540 1
O1 O 0.0000 0.0460 0.2882 1
O2 O 0.0000 0.9540 0.7882 1



Entry 6:
# DyInHgS3 (PBE, relaxed)
# space-group type = Cmcm, No. 63
# final energy = -51.69 eV/cell
# crystal system = orthorhombic
data_DyInHgS3
_chemical_formula_sum 'Dy2 In2 Hg2 S6'
_cell_length_a 7.8493
_cell_length_b 7.8493
_cell_length_c 10.4663
_cell_angle_alpha 90.00
_cell_angle_beta 90.00
_cell_angle_gamma 150.61
_symmetry_space_group_name_H-M 'P 1'
_symmetry_Int_Tables_number 1
_symmetry_space_group_name_Hall 'P 1'
loop_
_atom_site_label
_atom_site_type_symbol
_atom_site_fract_x
_atom_site_fract_y
_atom_site_fract_z
_atom_site_occupancy
Dy1 Dy 0.0000 0.0000 0.0000 1
Dy2 Dy 0.0000 0.0000 0.5000 1
In1 In 0.3305 0.6695 0.7500 1
In2 In 0.6695 0.3305 0.2500 1
Hg1 Hg 0.3230 0.6770 0.2500 1
Hg2 Hg 0.6770 0.3230 0.7500 1
S1 S 0.0521 0.9479 0.2500 1
S2 S 0.3776 0.6224 0.0273 1
S3 S 0.3776 0.6224 0.4727 1
S4 S 0.6224 0.3776 0.5273 1
S5 S 0.6224 0.3776 0.9727 1
S6 S 0.9479 0.0521 0.7500 1



Entry 7:
# Ho5Tl3 (PBE, relaxed)
# space-group type = I4/mcm, No. 140
# final energy = -64.43 eV/cell
# crystal system = tetragonal
data_Ho5Tl3
_chemical_formula_sum 'Ho10 Tl6'
_cell_length_a 9.0749
_cell_length_b 9.0749
_cell_length_c 9.0749
_cell_angle_alpha 127.53
_cell_angle_beta 127.53
_cell_angle_gamma 77.38
_symmetry_space_group_name_H-M 'P 1'
_symmetry_Int_Tables_number 1
_symmetry_space_group_name_Hall 'P 1'
loop_
_atom_site_label
_atom_site_type_symbol
_atom_site_fract_x
_atom_site_fract_y
_atom_site_fract_z
_atom_site_occupancy
Ho1 Ho 0.0000 0.0000 0.0000 1
Ho2 Ho 0.0067 0.5067 0.8185 1
Ho3 Ho 0.1882 0.0067 0.5000 1
Ho4 Ho 0.3118 0.8118 0.8185 1
Ho5 Ho 0.4933 0.3118 0.5000 1
Ho6 Ho 0.5000 0.5000 0.0000 1
Ho7 Ho 0.5067 0.6882 0.5000 1
Ho8 Ho 0.6882 0.1882 0.1815 1
Ho9 Ho 0.8118 0.9933 0.5000 1
Ho10 Ho 0.9933 0.4933 0.1815 1
Tl1 Tl 0.1363 0.3637 0.5000 1
Tl2 Tl 0.2500 0.2500 0.0000 1
Tl3 Tl 0.3637 0.8637 0.2274 1
Tl4 Tl 0.6363 0.1363 0.7726 1
Tl5 Tl 0.7500 0.7500 0.0000 1
Tl6 Tl 0.8637 0.6363 0.5000 1